The following is a DFT calculation (PBE) of crystalline ScCoW2 at its relaxed geometry.

Cell: 2.734 4.498 5.216 Å, 90.00 90.00 90.00°
Space group Pmmm (No. 47)
One atom of each set of equivalent atoms:
Sc  0.000  0.000  0.000 (multiplicity 1)
Co  0.000  0.000  0.500 (multiplicity 1)
W  0.500  0.500  0.252 (multiplicity 2)

Calculated values
The energy of formation comes out at 0.397 eV/atom. The calculation puts the relative energy among the computed polymorphs at 303 meV/atom. For the density of states at the Fermi level, the calculation gives 3.7 states/eV per cell. For the total magnetic moment, the calculation gives 0.41 μB/f.u.

=====

The following is a DFT calculation (PBE) of crystalline ScCoW2 at its relaxed geometry.

Cell: 5.270 9.142 2.759 Å, 90.00 109.23 90.00°
Space group C2/m (No. 12)
One atom of each set of equivalent atoms:
Sc  0.000  0.000  0.000 (multiplicity 2)
Co  0.000  0.500  0.000 (multiplicity 2)
W  0.250  0.250  0.500 (multiplicity 4)

Calculated values
The energy of formation comes out at 0.239 eV/atom. The calculation puts the relative energy among the computed polymorphs at 145 meV/atom. For the density of states at the Fermi level, the calculation gives 6.9 states/eV per cell. For the total magnetic moment, the calculation gives 0.00 μB/f.u.

=====

The following is a DFT calculation (PBE) of crystalline Sc2CoW at its relaxed geometry.

Cell: 4.759 4.759 3.023 Å, 90.00 90.00 90.00°
Space group P4/mmm (No. 123)
One atom of each set of equivalent atoms:
Sc  0.000  0.500  0.000 (multiplicity 2)
Co  0.000  0.000  0.500 (multiplicity 1)
W  0.500  0.500  0.500 (multiplicity 1)

Calculated values
The energy of formation comes out at 0.207 eV/atom. The calculation puts the relative energy among the computed polymorphs at 183 meV/atom. For the density of states at the Fermi level, the calculation gives 5.0 states/eV per cell. For the total magnetic moment, the calculation gives 0.00 μB/f.u.

=====

The following is a DFT calculation (PBE) of crystalline ScCoW2 at its relaxed geometry.

Cell: 2.753 2.753 8.314 Å, 90.00 90.00 90.00°
Space group P4/mmm (No. 123)
One atom of each set of equivalent atoms:
Sc  0.000  0.000  0.000 (multiplicity 1)
Co  0.000  0.000  0.500 (multiplicity 1)
W  0.500  0.500  0.286 (multiplicity 2)

Calculated values
The energy of formation comes out at 0.212 eV/atom. The calculation puts the relative energy among the computed polymorphs at 118 meV/atom. For the density of states at the Fermi level, the calculation gives 3.9 states/eV per cell. For the total magnetic moment, the calculation gives 0.38 μB/f.u.